The following is a PBE calculation of crystalline Rb2InCuF6 at its relaxed geometry, from OQMD via LeMat-Bulk.

Its energy is -4.258 eV/atom.

The structure belongs to space group R-3m (No. 166, hexagonal axes); the cell edges are 5.9442, 5.9442 and 14.5378 Å and the angles 90.00°, 90.00° and 120.00°. The distinct sites, in fractional coordinates, are Rb at (0.0000, 0.0000, 0.2500), In at (0.0000, 0.0000, 0.0000), Cu at (0.0000, 0.0000, 0.5000) and F at (0.0003, 0.5002, 0.2502).